1.
Entry from the Alexandria database: crystalline CaIn5Au4 at its relaxed geometry (PBE).

Values from the calculation:
**Space-group type**: C2/m, No. 12
**DOS at the Fermi energy**: 0.329 states/eV per atom
**Formation energy**: -0.321 eV/atom

Lattice parameters (Å, degrees): 4.7841 6.9919 7.6537 92.71 108.21 90.00
Closest atoms and distances in Å follow each position.
Positions (direct):
Au: 0.6720 0.7526 0.3439  7 In 2.87-2.99, 1 Ca 3.11
Au: 0.3280 0.2474 0.6561  7 In 2.87-2.99, 1 Ca 3.11
Au: 0.9777 0.7365 0.9554  4 In 2.79-2.94, 2 Ca 3.03
Au: 0.0223 0.2635 0.0446  4 In 2.79-2.94, 2 Ca 3.03
In: 0.5000 0.5000 0.0000  6 Au 2.94-2.99
In: 0.8324 0.0078 0.6649  4 Au 2.87-2.92
In: 0.1676 0.9922 0.3351  4 Au 2.87-2.92
In: 0.8226 0.4852 0.6453  4 Au 2.79-2.95
In: 0.1774 0.5148 0.3547  4 Au 2.79-2.95
Ca: 0.5000 0.0000 0.0000  6 Au 3.03-3.11



2.
Entry from the Alexandria database: crystalline Ca3InAu4 at its relaxed geometry (PBE).

Values from the calculation:
**Space-group type**: R-3m, No. 166
**DOS at the Fermi energy**: 0.480 states/eV per atom
**Formation energy**: -0.700 eV/atom
**E above lowest polymorph**: 0 meV per atom

Lattice parameters (Å, degrees): 5.0794 5.0794 8.7838 73.19 73.19 60.00
Closest atoms and distances in Å follow each position.
Positions (direct):
Ca: 0.7450 0.7450 0.7650  8 Au 3.03-3.19
Ca: 0.2550 0.2550 0.2350  8 Au 3.03-3.19
Ca: 0.5000 0.5000 0.5000  8 Au 3.05-3.10
In: 0.0000 0.0000 0.0000  8 Au 3.13-3.14
Au: 0.8734 0.8734 0.3797  7 Ca 3.10-3.19, 1 In 3.14
Au: 0.1266 0.1266 0.6203  7 Ca 3.10-3.19, 1 In 3.14
Au: 0.3770 0.3770 0.8690  5 Ca 3.03-3.06, 3 In 3.13
Au: 0.6230 0.6230 0.1310  5 Ca 3.03-3.06, 3 In 3.13